Material: NaY3In
Method: DFT, PBE
State: relaxed Values from VASP.

Structure (Quantum ESPRESSO input):
```
&SYSTEM
  ibrav = 0, nat = 5, ntyp = 3
/
ATOMIC_SPECIES
Na 22.99 Na.upf
Y 88.91 Y.upf
In 114.82 In.upf
CELL_PARAMETERS angstrom
5.4707 0.0000 0.0000
0.0000 5.4707 0.0000
0.0000 0.0000 5.4707
ATOMIC_POSITIONS crystal
Na 0.0000 0.0000 0.0000
Y 0.0000 0.0000 0.5000
Y 0.0000 0.5000 0.0000
Y 0.5000 0.0000 0.0000
In 0.5000 0.5000 0.5000
```

Uncorrected energy: -3.97 eV/atom
Relative energy among the computed polymorphs: 353 meV per atom
Energy of formation: 717 meV/atom